Entry from Alexandria via LeMat-Bulk: CoTcNO2 after structural relaxation (GGA+U).

Cell and atoms, written as POSCAR:
```
CoTcNO2
1.0
3.8438 0.0000 0.0000
0.0000 3.8438 0.0000
0.0000 0.0000 3.9212
Co Tc N O
1 1 1 2
Cartesian
0.0000 0.0000 0.0000 Co
1.9219 1.9219 1.9606 Tc
1.9219 1.9219 0.0000 N
0.0000 1.9219 1.9606 O
1.9219 0.0000 1.9606 O
```

* calculated density: 5.817 g/cm3
* VASP energy: -34.4 eV for the cell shown